[1]
The following is a DFT calculation (PBE) of a relaxed Tb2CoOs3 crystal.

Its total energy is -8.6128 eV/atom. The density is 15.0 g/cm³. The formation energy from the elements comes out at -1.62 eV/f.u. The calculation puts the total moment at 0.62 μB per formula unit.

The structure belongs to space group C2/m (No. 12); the cell edges are 9.126, 5.274 and 5.329 Å and the angles 90.00°, 124.87° and 90.00°. Symmetry generates all atoms from Tb at (0.124, 0.000, 0.372), Co at (0.000, 0.500, 0.500), Os at (0.000, 0.500, 0.000) and Os at (0.250, 0.250, 0.000).



[2]
The following is a DFT calculation (PBE) of a relaxed Tb6Co2Os crystal.

Its total energy is -6.0759 eV/atom. The density is 9.9 g/cm³. The formation energy from the elements comes out at -1.46 eV/f.u. The calculation puts the total moment at 0.00 μB per formula unit.

The structure belongs to space group Immm (No. 71); the cell edges are 9.339, 9.405 and 9.593 Å and the angles 90.00°, 90.00° and 90.00°. Symmetry generates all atoms from Tb at (0.000, 0.184, 0.241), Tb at (0.187, 0.500, 0.329), Tb at (0.238, 0.324, 0.000), Co at (0.000, 0.335, 0.500), Co at (0.000, 0.500, 0.113), Os at (0.000, 0.000, 0.000) and Os at (0.000, 0.000, 0.500).



[3]
The following is a DFT calculation (PBE) of a relaxed Tb2CoOs crystal.

Its total energy is -6.2737 eV/atom. The density is 11.1 g/cm³. The formation energy from the elements comes out at 2.50 eV/f.u. The calculation puts the total moment at 0.81 μB per formula unit.

The structure belongs to space group R-3m (No. 166, hexagonal axes); the cell edges are 3.2431, 3.2431 and 27.9668 Å and the angles 90.00°, 90.00° and 120.00°. Symmetry generates all atoms from Tb at (0.0000, 0.0000, 0.0898), Co at (0.0000, 0.0000, 0.0000) and Os at (0.0000, 0.0000, 0.5000).



[4]
The following is a DFT calculation (PBE) of a relaxed Tb3CoOs crystal.

Its total energy is -6.6139 eV/atom. The density is 10.6 g/cm³. The formation energy from the elements comes out at -0.84 eV/f.u. The calculation puts the total moment at 0.00 μB per formula unit.

The structure belongs to space group Pmmn (No. 59, origin choice 2); the cell edges are 4.320, 8.715 and 6.038 Å and the angles 90.00°, 90.00° and 90.00°. Symmetry generates all atoms from Tb at (0.250, 0.048, 0.240), Tb at (0.250, 0.250, 0.742), Co at (0.250, 0.750, 0.545) and Os at (0.250, 0.750, 0.939).



[5]
The following is a DFT calculation (PBE) of a relaxed TbCoOs crystal.

Its total energy is -7.9016 eV/atom. The density is 13.4 g/cm³. The formation energy from the elements comes out at -0.74 eV/f.u. The calculation puts the total moment at 0.70 μB per formula unit.

The structure belongs to space group Imma (No. 74); the cell edges are 5.118, 5.274 and 7.475 Å and the angles 90.00°, 90.00° and 90.00°. Symmetry generates all atoms from Tb at (0.000, 0.250, 0.123), Co at (0.000, 0.000, 0.500) and Os at (0.250, 0.250, 0.750).



[6]
The following is a DFT calculation (PBE) of a relaxed TbCoOs crystal.

Its total energy is -7.4564 eV/atom. The density is 12.9 g/cm³. The formation energy from the elements comes out at 0.60 eV/f.u. The calculation puts the total moment at 1.46 μB per formula unit.

The structure belongs to space group Cmcm (No. 63); the cell edges are 5.019, 7.895 and 5.293 Å and the angles 90.00°, 90.00° and 90.00°. Symmetry generates all atoms from Tb at (0.000, 0.153, 0.250), Co at (0.000, 0.215, 0.750) and Os at (0.000, 0.500, 0.000).



[7]
The following is a DFT calculation (PBE) of a relaxed TbCo4Os crystal.

Its total energy is -7.3227 eV/atom. The density is 11.7 g/cm³. The formation energy from the elements comes out at 0.35 eV/f.u. The calculation puts the total moment at 7.01 μB per formula unit.

The structure belongs to space group F-43m (No. 216); the cell edges are 6.915, 6.915 and 6.915 Å and the angles 90.00°, 90.00° and 90.00°. Symmetry generates all atoms from Tb at (0.000, 0.000, 0.000), Co at (0.125, 0.125, 0.375) and Os at (0.250, 0.250, 0.750).



[8]
The following is a DFT calculation (PBE) of a relaxed Tb5Co2Os crystal.

Its total energy is -6.2882 eV/atom. The density is 10.1 g/cm³. The formation energy from the elements comes out at -1.71 eV/f.u. The calculation puts the total moment at 0.00 μB per formula unit.

The structure belongs to space group I4/mcm (No. 140); the cell edges are 7.132, 7.132 and 14.209 Å and the angles 90.00°, 90.00° and 90.00°. Symmetry generates all atoms from Tb at (0.000, 0.000, 0.000), Tb at (0.179, 0.321, 0.143), Co at (0.111, 0.389, 0.500) and Os at (0.000, 0.000, 0.250).



[9]
The following is a DFT calculation (PBE) of a relaxed TbTmCoOs crystal.

Its total energy is -7.0077 eV/atom. The density is 12.6 g/cm³. The formation energy from the elements comes out at -0.59 eV/f.u. The calculation puts the total moment at 0.00 μB per formula unit.

The structure belongs to space group F-43m (No. 216); the cell edges are 6.725, 6.725 and 6.725 Å and the angles 90.00°, 90.00° and 90.00°. Symmetry generates all atoms from Tb at (0.000, 0.000, 0.000), Tm at (0.000, 0.000, 0.500), Co at (0.250, 0.250, 0.250) and Os at (0.250, 0.250, 0.750).



[10]
The following is a DFT calculation (PBE) of a relaxed TbYCoOs crystal.

Its total energy is -7.4396 eV/atom. The density is 10.5 g/cm³. The formation energy from the elements comes out at -0.33 eV/f.u. The calculation puts the total moment at 0.57 μB per formula unit.

The structure belongs to space group F-43m (No. 216); the cell edges are 6.797, 6.797 and 6.797 Å and the angles 90.00°, 90.00° and 90.00°. Symmetry generates all atoms from Tb at (0.000, 0.000, 0.000), Y at (0.000, 0.000, 0.500), Co at (0.250, 0.250, 0.250) and Os at (0.250, 0.250, 0.750).



[11]
The following is a DFT calculation (PBE) of a relaxed Co2Tc2Os crystal.

Its total energy is -9.0601 eV/atom. The density is 13.0 g/cm³. The formation energy from the elements comes out at 0.87 eV/f.u. The calculation puts the total moment at 0.00 μB per formula unit.

The structure belongs to space group P4/mbm (No. 127); the cell edges are 6.891, 6.891 and 2.719 Å and the angles 90.00°, 90.00° and 90.00°. Symmetry generates all atoms from Co at (0.121, 0.379, 0.000), Tc at (0.176, 0.676, 0.500) and Os at (0.000, 0.000, 0.000).



[12]
The following is a DFT calculation (PBE) of a relaxed Co2TcOs crystal.

Its total energy is -8.5751 eV/atom. The density is 12.7 g/cm³. The formation energy from the elements comes out at 1.51 eV/f.u. The calculation puts the total moment at 3.59 μB per formula unit.

The structure belongs to space group Cmm2 (No. 35); the cell edges are 2.788, 4.413 and 8.604 Å and the angles 90.00°, 90.00° and 90.00°. Symmetry generates all atoms from Co at (0.000, 0.000, 0.000), Co at (0.000, 0.500, 0.228), Tc at (0.000, 0.500, 0.748) and Os at (0.000, 0.000, 0.481).



Which of these has the highest total moment? TbCo4Os